1.
This record from Alexandria via LeMat-Bulk describes a relaxed SbOsRhAu2 crystal. The functional is GGA-PBEsol.

Cell lengths 4.9725, 4.9725, 4.5657 Å; angles 90.00, 90.00, 90.00 degrees
Atoms (fractional coordinates):
Sb 0.0000 0.0000 0.0000
Os 0.5000 0.5000 0.5000
Rh 0.5000 0.5000 0.0000
Au 0.0000 0.5000 0.5000
Au 0.5000 0.0000 0.5000

Output
calculated volume = 22.6 A^3/atom
ρ = 11.9 Mg/m³
space-group type = No. 123
raw formation energy = 1.29 eV/atom

=====

2.
This record from Alexandria via LeMat-Bulk describes a relaxed K3CF crystal. The functional is GGA-PBEsol.

Cell lengths 5.4552, 5.4552, 5.4552 Å; angles 90.00, 90.00, 90.00 degrees
Atoms (fractional coordinates):
K 0.0000 0.0000 0.5000
K 0.0000 0.5000 0.0000
K 0.5000 0.0000 0.0000
C 0.0000 0.0000 0.0000
F 0.5000 0.5000 0.5000

Output
calculated volume = 32.5 A^3/atom
ρ = 1.5 Mg/m³
space-group type = No. 221
raw formation energy = 0.14 eV/atom

=====

3.
This record from Alexandria via LeMat-Bulk describes a relaxed Ca5MgCu crystal. The functional is GGA-PBEsol.

Cell lengths 5.0003, 5.0003, 8.9676 Å; angles 90.00, 90.00, 90.00 degrees
Atoms (fractional coordinates):
Ca 0.0000 0.0000 0.0000
Ca 0.0000 0.5000 0.3058
Ca 0.0000 0.5000 0.6942
Ca 0.5000 0.0000 0.3058
Ca 0.5000 0.0000 0.6942
Mg 0.5000 0.5000 0.0000
Cu 0.0000 0.0000 0.5000

Output
calculated volume = 32.0 A^3/atom
ρ = 2.1 Mg/m³
space-group type = No. 123
energy relative to the elements = 0.02 eV/atom

=====

4.
This record from Alexandria via LeMat-Bulk describes a relaxed Sc2TaCu crystal. The functional is GGA-PBEsol.

Cell lengths 4.8813, 4.8813, 3.0498 Å; angles 90.00, 90.00, 90.00 degrees
Atoms (fractional coordinates):
Sc 0.0000 0.5000 0.0000
Sc 0.5000 0.0000 0.0000
Ta 0.0000 0.0000 0.5000
Cu 0.5000 0.5000 0.5000

Output
calculated volume = 18.2 A^3/atom
ρ = 7.6 Mg/m³
space-group type = No. 123
energy relative to the elements = 0.18 eV/atom

=====

5.
This record from Alexandria via LeMat-Bulk describes a relaxed KWBr2 crystal. The functional is GGA-PBEsol.

Cell lengths 7.6525, 7.6525, 7.6525 Å; angles 154.71, 146.72, 42.25 degrees
Atoms (fractional coordinates):
K 0.0000 0.0000 0.0000
W 0.2214 0.7214 0.5000
Br 0.3885 0.3885 0.0000
Br 0.6906 0.1906 0.5000

Output
calculated volume = 26.2 A^3/atom
ρ = 6.1 Mg/m³
E above lowest polymorph = 0.000 eV per atom
space-group type = No. 44
raw formation energy = 0.43 eV/atom

=====

6.
This record from Alexandria via LeMat-Bulk describes a relaxed HfMo2O8 crystal. The functional is GGA-PBEsol.

Cell lengths 6.9202, 6.9202, 7.3932 Å; angles 116.07, 116.07, 68.38 degrees
Atoms (fractional coordinates):
Hf 0.0183 0.9817 0.7500
Hf 0.9817 0.0183 0.2500
Mo 0.0577 0.5031 0.2424
Mo 0.4969 0.9423 0.2576
Mo 0.5031 0.0577 0.7423
Mo 0.9423 0.4969 0.7577
O 0.0119 0.6819 0.0617
O 0.0222 0.7955 0.4214
O 0.0606 0.6517 0.7119
O 0.2045 0.9778 0.0786
O 0.3181 0.9881 0.4383
O 0.3286 0.3959 0.3363
O 0.3483 0.9394 0.7881
O 0.3959 0.3286 0.8363
O 0.6041 0.6714 0.1637
O 0.6517 0.0606 0.2119
O 0.6714 0.6041 0.6637
O 0.6819 0.0119 0.5617
O 0.7955 0.0222 0.9214
O 0.9394 0.3483 0.2881
O 0.9778 0.2045 0.5786
O 0.9881 0.3181 0.9383

Output
calculated volume = 12.7 A^3/atom
ρ = 5.9 Mg/m³
space-group type = No. 15
raw formation energy = -2.40 eV/atom

=====

7.
This record from Alexandria via LeMat-Bulk describes a relaxed InAgSe2Br crystal. The functional is GGA-PBEsol.

Cell lengths 5.0234, 5.0234, 5.2589 Å; angles 90.00, 90.00, 90.00 degrees
Atoms (fractional coordinates):
In 0.0000 0.0000 0.0000
Ag 0.5000 0.5000 0.5000
Se 0.0000 0.5000 0.5000
Se 0.5000 0.0000 0.5000
Br 0.5000 0.5000 0.0000

Output
calculated volume = 26.5 A^3/atom
ρ = 5.8 Mg/m³
space-group type = No. 123
raw formation energy = 0.19 eV/atom

=====

8.
This record from Alexandria via LeMat-Bulk describes a relaxed CdCoCl2 crystal. The functional is GGA-PBEsol.

Cell lengths 6.1540, 6.1540, 6.1540 Å; angles 145.22, 145.22, 50.00 degrees
Atoms (fractional coordinates):
Cd 0.0000 0.0000 0.0000
Co 0.2500 0.7500 0.5000
Cl 0.5000 0.5000 0.0000
Cl 0.7500 0.2500 0.5000

Output
calculated volume = 18.9 A^3/atom
ρ = 5.3 Mg/m³
E above lowest polymorph = 0.535 eV per atom
space-group type = No. 119
raw formation energy = 0.21 eV/atom

=====

9.
This record from Alexandria via LeMat-Bulk describes a relaxed MnIr2W crystal. The functional is GGA-PBEsol.

Cell lengths 4.6330, 4.6330, 4.6330 Å; angles 131.43, 131.43, 71.13 degrees
Atoms (fractional coordinates):
Mn 0.0000 0.0000 0.0000
Ir 0.2500 0.7500 0.5000
Ir 0.7500 0.2500 0.5000
W 0.5000 0.5000 0.0000

Output
calculated volume = 13.7 A^3/atom
ρ = 18.9 Mg/m³
E above lowest polymorph = 0.025 eV per atom
space-group type = No. 139
energy relative to the elements = -0.23 eV/atom

=====

10.
This record from Alexandria via LeMat-Bulk describes a relaxed Y4Si2S3O7 crystal. The functional is GGA-PBEsol.

Cell lengths 10.6343, 10.6343, 10.6343 Å; angles 113.86, 113.86, 101.02 degrees
Atoms (fractional coordinates):
Y 0.0477 0.2977 0.0954
Y 0.0477 0.9523 0.7500
Y 0.1735 0.6589 0.5145
Y 0.2977 0.0477 0.5954
Y 0.2977 0.7023 0.2500
Y 0.3411 0.3556 0.5145
Y 0.3411 0.8265 0.9855
Y 0.3556 0.3411 0.0145
Y 0.6444 0.6589 0.9855
Y 0.6589 0.1735 0.0145
Y 0.6589 0.6444 0.4855
Y 0.7023 0.2977 0.7500
Y 0.7023 0.9523 0.4046
Y 0.8265 0.3411 0.4855
Y 0.9523 0.0477 0.2500
Y 0.9523 0.7023 0.9046
Si 0.0955 0.2204 0.6249
Si 0.0955 0.4706 0.8751
Si 0.2204 0.0955 0.1249
Si 0.4706 0.0955 0.3751
Si 0.5294 0.9045 0.6249
Si 0.7796 0.9045 0.8751
Si 0.9045 0.5294 0.1249
Si 0.9045 0.7796 0.3751
S 0.0000 0.3542 0.3542
S 0.0000 0.6458 0.6458
S 0.1250 0.8750 0.2500
S 0.3542 0.0000 0.8542
S 0.3542 0.5000 0.3542
S 0.3750 0.6250 0.7500
S 0.5000 0.3542 0.8542
S 0.5000 0.6458 0.1458
S 0.6250 0.3750 0.2500
S 0.6458 0.0000 0.1458
S 0.6458 0.5000 0.6458
S 0.8750 0.1250 0.7500
O 0.0835 0.5675 0.2332
O 0.0835 0.8503 0.5160
O 0.1497 0.1657 0.2332
O 0.1505 0.4005 0.7500
O 0.1497 0.9165 0.9840
O 0.1657 0.1497 0.7332
O 0.1657 0.4325 0.0160
O 0.1738 0.1900 0.5162
O 0.1738 0.6576 0.9838
O 0.1900 0.1738 0.0162
O 0.3424 0.8262 0.5162
O 0.4005 0.1505 0.2500
O 0.4325 0.1657 0.5160
O 0.4325 0.9165 0.2668
O 0.5675 0.0835 0.7332
O 0.5675 0.8343 0.4840
O 0.5995 0.8495 0.7500
O 0.6576 0.1738 0.4838
O 0.8100 0.8262 0.9838
O 0.8262 0.3424 0.0162
O 0.8262 0.8100 0.4838
O 0.8343 0.5675 0.9840
O 0.8343 0.8503 0.2668
O 0.8503 0.0835 0.0160
O 0.8495 0.5995 0.2500
O 0.8503 0.8343 0.7668
O 0.9165 0.1497 0.4840
O 0.9165 0.4325 0.7668

Output
calculated volume = 14.2 A^3/atom
ρ = 4.5 Mg/m³
space-group type = No. 141
raw formation energy = -2.93 eV/atom

=====

11.
This record from Alexandria via LeMat-Bulk describes a relaxed TiGa3 crystal. The functional is GGA-PBEsol.

Cell lengths 5.0786, 5.0786, 5.0786 Å; angles 136.78, 136.78, 62.78 degrees
Atoms (fractional coordinates):
Ti 0.0000 0.0000 0.0000
Ga 0.2500 0.7500 0.5000
Ga 0.5000 0.5000 0.0000
Ga 0.7500 0.2500 0.5000

Output
calculated volume = 15.2 A^3/atom
ρ = 7.0 Mg/m³
space-group type = No. 139
energy relative to the elements = -0.44 eV/atom

=====

12.
This record from Alexandria via LeMat-Bulk describes a relaxed CaBe2Ir crystal. The functional is GGA-PBEsol.

Cell lengths 4.3570, 4.3570, 2.9003 Å; angles 90.00, 90.00, 102.56 degrees
Atoms (fractional coordinates):
Ca 0.0000 0.0000 0.0000
Be 0.0000 0.5000 0.5000
Be 0.5000 0.0000 0.5000
Ir 0.5000 0.5000 0.0000

Output
calculated volume = 13.4 A^3/atom
ρ = 7.7 Mg/m³
E above lowest polymorph = 0.621 eV per atom
space-group type = No. 65
energy relative to the elements = 0.29 eV/atom